1.
The following is a PBE-GGA calculation of crystalline NaYCl2 at its relaxed geometry, from the Alexandria database.

Cell and atoms, written as extended XYZ:
```
4
Lattice="2.012 -3.031 3.437 3.008 1.873 3.534 -1.557 0.222 4.751" Properties=species:S:1:pos:R:3 pbc="T T T"
Cl 0.866 -0.234 2.931
Na 0.000 0.000 0.000
Cl 2.597 -0.702 8.792
Y 1.731 -0.468 5.861
```

Results
Energy above the most stable polymorph in this dataset   448 meV/atom
Raw formation energy   -1039 meV/atom

=====

2.
The following is a PBE-GGA calculation of crystalline Na3YCl6 at its relaxed geometry, from the Alexandria database.

Cell and atoms, written as extended XYZ:
```
20
Lattice="-1.044 -6.183 3.791 -0.814 -3.500 -5.933 10.913 1.534 5.509" Properties=species:S:1:pos:R:3 pbc="T T T"
Na 4.527 -4.075 1.683
Cl 4.078 -2.642 -0.605
Y -0.522 -3.091 1.895
Cl 6.992 -4.940 7.017
Y 5.457 0.767 2.754
Cl 0.516 -2.005 -0.304
Cl 9.393 -2.714 2.663
Cl 4.977 -5.507 3.972
Na -0.407 -1.750 -2.967
Na 7.365 -1.812 0.120
Cl 3.188 -6.285 0.532
Cl 5.867 -1.864 2.834
Cl 7.147 -4.647 0.456
Na 1.690 -6.337 3.246
Cl 8.539 -6.144 3.670
Cl -0.338 -5.435 0.703
Na 7.514 -3.392 4.665
Cl 2.063 -3.209 -3.651
Na 1.541 -4.757 -1.299
Cl 1.908 -3.502 2.910
```

Results
Energy above the most stable polymorph in this dataset   2 meV/atom
Raw formation energy   -1996 meV/atom

=====

3.
The following is a PBE-GGA calculation of crystalline NaYCl4 at its relaxed geometry, from the Alexandria database.

Cell and atoms, written as extended XYZ:
```
12
Lattice="-4.876 4.693 -0.396 -5.364 -3.198 2.735 1.470 2.651 6.392" Properties=species:S:1:pos:R:3 pbc="T T T"
Y -3.384 1.271 7.883
Y -5.387 2.874 0.847
Cl -2.590 3.379 6.294
Na -7.392 2.298 4.923
Na -1.379 1.848 3.808
Cl -5.276 0.981 6.131
Cl -8.585 3.170 7.463
Cl -0.186 0.976 1.268
Cl -2.529 -0.804 2.901
Cl -6.242 4.950 5.829
Cl -6.181 0.767 2.436
Cl -3.495 3.165 2.599
```

Results
Energy above the most stable polymorph in this dataset   0 meV/atom
Raw formation energy   -2114 meV/atom

=====

4.
The following is a PBE-GGA calculation of crystalline Na4Y2Cl9 at its relaxed geometry, from the Alexandria database.

Cell and atoms, written as extended XYZ:
```
30
Lattice="-3.376 6.206 0.661 -5.553 1.481 -4.160 -11.421 -7.553 12.556" Properties=species:S:1:pos:R:3 pbc="T T T"
Cl -14.637 -2.134 10.503
Cl -10.672 0.128 6.499
Y -15.168 -4.876 6.411
Na -6.165 4.982 -2.098
Cl -16.458 0.119 5.716
Na -15.348 -1.086 7.997
Cl -5.713 2.268 -1.447
Na -8.475 -1.075 4.877
Cl -10.078 5.340 0.915
Y -13.070 -3.488 4.106
Cl -9.897 3.423 4.413
Na -11.875 1.209 4.179
Na -9.637 2.685 1.715
Cl -10.272 -5.207 8.142
Na -5.002 1.219 1.060
Cl -9.678 0.005 2.558
Y -7.280 3.622 4.951
Cl -16.986 -3.341 7.643
Cl -10.453 -3.289 4.643
Na -10.713 -2.551 7.341
Cl -3.892 0.015 3.340
Cl -13.450 -2.732 6.740
Cl -17.528 0.159 9.256
Cl -3.364 3.474 1.414
Cl -12.441 2.576 1.590
Na -14.185 -4.849 11.155
Cl -7.909 -2.442 7.466
Y -5.182 5.009 2.646
Cl -6.900 2.865 2.317
Cl -2.822 -0.026 -0.200
```

Results
Raw formation energy   -1954 meV/atom

=====

5.
The following is a PBE-GGA calculation of crystalline NaYCl4 at its relaxed geometry, from the Alexandria database.

Cell and atoms, written as extended XYZ:
```
12
Lattice="-4.116 -2.928 -4.917 5.538 -0.184 -3.590 0.846 -5.252 7.004" Properties=species:S:1:pos:R:3 pbc="T T T"
Cl 2.026 -2.500 -5.288
Cl 4.666 -2.860 -1.296
Na 0.301 -6.546 1.120
Na 1.968 -1.818 -2.623
Cl -2.398 -5.504 -0.207
Cl 0.242 -5.864 3.785
Cl 2.173 -3.976 0.988
Cl 4.618 -4.928 3.626
Y -2.567 -4.468 -2.770
Cl 0.095 -4.388 -2.491
Y 4.835 -3.896 1.267
Cl -2.350 -3.436 -5.128
```

Results
Energy above the most stable polymorph in this dataset   10 meV/atom
Raw formation energy   -2104 meV/atom

=====

6.
The following is a PBE-GGA calculation of crystalline Na2Y2Cl at its relaxed geometry, from the Alexandria database.

Cell and atoms, written as extended XYZ:
```
5
Lattice="4.313 0.000 0.000 0.000 4.313 0.000 2.156 2.156 9.837" Properties=species:S:1:pos:R:3 pbc="T T T"
Na 2.156 2.156 1.649
Cl 0.000 0.000 0.000
Y 4.313 2.156 4.919
Na 4.313 4.313 8.188
Y 2.156 4.313 4.919
```

Results
Energy above the most stable polymorph in this dataset   65 meV/atom
Raw formation energy   -42 meV/atom

=====

7.
The following is a PBE-GGA calculation of crystalline NaYCl4 at its relaxed geometry, from the Alexandria database.

Cell and atoms, written as extended XYZ:
```
6
Lattice="4.065 0.000 0.000 0.000 6.471 -1.022 0.000 0.632 7.234" Properties=species:S:1:pos:R:3 pbc="T T T"
Cl 0.000 5.352 1.333
Cl 0.000 1.751 4.878
Cl 2.032 5.536 5.354
Y 0.000 0.000 0.000
Na 2.032 0.316 3.617
Cl 2.032 1.567 0.858
```

Results
Energy above the most stable polymorph in this dataset   3 meV/atom
Raw formation energy   -2111 meV/atom

=====

8.
The following is a PBE-GGA calculation of crystalline NaYCl2 at its relaxed geometry, from the Alexandria database.

Cell and atoms, written as extended XYZ:
```
8
Lattice="-5.140 -2.616 3.097 3.144 0.584 5.712 -3.249 4.238 5.106" Properties=species:S:1:pos:R:3 pbc="T T T"
Y -4.693 0.303 6.304
Na -0.551 1.903 7.611
Na -0.998 -1.016 4.405
Cl -4.216 1.395 11.477
Cl 0.456 1.070 5.267
Cl -3.152 2.423 7.194
Cl -3.577 -0.475 3.894
Y 0.000 0.000 0.000
```

Results
Energy above the most stable polymorph in this dataset   310 meV/atom
Raw formation energy   -1177 meV/atom

=====

Table of total DFT energy (no corrections) (eV/f.u.), in record order: -15.6; -41.5; -27.9; -64.1; -27.8; -17.6; -27.8; -16.2